Below is crystalline Na2Np3PbS8 at its relaxed geometry, with properties calculated at the PBE level.

Output
formation energy without anion corrections = -1.143 eV per atom
symmetry = R3m

abc: 8.143 8.143 8.302
angles: 60.63 60.63 60.00
Last column: magnetic moment on the atom in μB.
Fractional coordinates of all 14 atoms:
Na  0.122  0.122  0.634  0.00
Na  0.497  0.497  0.508  0.00
Np  0.498  0.005  0.998  3.28
Np  0.005  0.498  0.998  3.28
Np  0.498  0.498  0.998  3.28
Pb  0.879  0.879  0.363  -0.01
S  0.263  0.263  0.210  -0.10
S  0.734  0.734  0.799  -0.10
S  0.250  0.250  0.793  -0.12
S  0.707  0.250  0.793  -0.12
S  0.250  0.707  0.793  -0.12
S  0.747  0.294  0.211  -0.10
S  0.294  0.747  0.211  -0.10
S  0.747  0.747  0.211  -0.10

Below is crystalline Na3Np2PbS6 at its relaxed geometry, with properties calculated at the PBE level.

Output
formation energy without anion corrections = -1.214 eV per atom
symmetry = C2/m

abc: 7.087 7.087 7.052
angles: 99.78 99.78 120.02
Last column: magnetic moment on the atom in μB.
Fractional coordinates of all 12 atoms:
Na  0.161  0.839  0.500  0.00
Na  0.839  0.161  0.500  0.00
Na  0.500  0.500  0.500  0.00
Np  0.333  0.667  0.000  3.60
Np  0.667  0.333  0.000  3.60
Pb  0.000  0.000  0.000  0.00
S  0.923  0.565  0.771  -0.08
S  0.720  0.720  0.232  -0.07
S  0.077  0.435  0.229  -0.08
S  0.565  0.923  0.771  -0.08
S  0.280  0.280  0.768  -0.07
S  0.435  0.077  0.229  -0.08

Below is crystalline Na3Np3PbSe8 at its relaxed geometry, with properties calculated at the PBE level.

Output
formation energy without anion corrections = -1.073 eV per atom
symmetry = R-3m

abc: 8.433 8.434 8.427
angles: 120.04 90.00 120.00
Last column: magnetic moment on the atom in μB.
Fractional coordinates of all 15 atoms:
Na  0.000  0.000  0.000  0.00
Na  0.000  0.500  0.000  0.00
Na  0.500  0.500  0.000  0.00
Np  0.500  0.000  0.500  3.60
Np  0.500  0.500  0.500  3.60
Np  0.000  0.500  0.500  3.60
Pb  0.000  0.000  0.500  -0.02
Se  0.256  0.512  0.269  -0.09
Se  0.744  0.488  0.731  -0.09
Se  0.745  0.491  0.270  -0.11
Se  0.255  0.509  0.730  -0.11
Se  0.746  0.024  0.270  -0.11
Se  0.254  0.976  0.730  -0.11
Se  0.279  0.024  0.270  -0.11
Se  0.721  0.976  0.730  -0.11

Below is crystalline Na2NpPb3Se6 at its relaxed geometry, with properties calculated at the PBE level.

Output
formation energy without anion corrections = -0.861 eV per atom
symmetry = C2/m

abc: 7.430 7.430 7.489
angles: 99.38 99.38 119.73
Last column: magnetic moment on the atom in μB.
Fractional coordinates of all 12 atoms:
Na  0.332  0.668  0.000  0.00
Na  0.668  0.332  0.000  0.00
Np  0.000  0.000  0.000  3.37
Pb  0.165  0.835  0.500  -0.01
Pb  0.835  0.165  0.500  -0.01
Pb  0.500  0.500  0.500  -0.01
Se  0.921  0.611  0.769  -0.05
Se  0.768  0.768  0.245  -0.04
Se  0.079  0.389  0.231  -0.05
Se  0.611  0.921  0.769  -0.05
Se  0.232  0.232  0.755  -0.04
Se  0.389  0.079  0.231  -0.05

Below is crystalline Na4Np3PbSe8 at its relaxed geometry, with properties calculated at the PBE level.

Output
formation energy without anion corrections = -1.118 eV per atom
symmetry = R-3m

abc: 8.506 8.494 8.504
angles: 120.04 120.01 90.00
Last column: magnetic moment on the atom in μB.
Fractional coordinates of all 16 atoms:
Na  0.500  0.000  0.000  0.00
Na  0.500  0.000  0.500  0.00
Na  0.000  0.000  0.000  0.00
Na  0.000  0.000  0.500  0.00
Np  0.500  0.500  0.000  3.78
Np  0.500  0.500  0.500  3.78
Np  0.000  0.500  0.500  3.78
Pb  0.000  0.500  0.000  0.00
Se  0.252  0.732  0.980  -0.08
Se  0.252  0.732  0.505  -0.08
Se  0.257  0.272  0.514  -0.09
Se  0.727  0.732  0.980  -0.08
Se  0.273  0.268  0.020  -0.08
Se  0.743  0.728  0.486  -0.09
Se  0.748  0.268  0.495  -0.08
Se  0.748  0.268  0.020  -0.08

Below is crystalline NaNpTe4Pb2 at its relaxed geometry, with properties calculated at the PBE level.

Output
formation energy without anion corrections = -0.566 eV per atom
symmetry = P2/m

abc: 4.562 7.886 7.978
angles: 108.81 90.00 90.00
Last column: magnetic moment on the atom in μB.
Fractional coordinates of all 8 atoms:
Na  0.500  0.500  0.000  0.00
Np  0.000  0.000  0.000  4.01
Te  0.500  0.240  0.238  -0.04
Te  0.500  0.760  0.762  -0.04
Te  0.000  0.245  0.759  -0.03
Te  0.000  0.755  0.241  -0.03
Pb  0.500  0.000  0.500  0.00
Pb  0.000  0.500  0.500  0.00

Below is crystalline Na3Np2Te6Pb at its relaxed geometry, with properties calculated at the PBE level.

Output
formation energy without anion corrections = -0.758 eV per atom
symmetry = C2/m

abc: 7.852 7.852 7.914
angles: 99.56 99.56 120.02
Last column: magnetic moment on the atom in μB.
Fractional coordinates of all 12 atoms:
Na  0.160  0.840  0.500  0.00
Na  0.840  0.160  0.500  0.00
Na  0.500  0.500  0.500  0.00
Np  0.333  0.667  0.000  3.79
Np  0.667  0.333  0.000  3.79
Te  0.921  0.571  0.765  -0.09
Te  0.729  0.729  0.235  -0.09
Te  0.079  0.429  0.235  -0.09
Te  0.571  0.921  0.765  -0.09
Te  0.271  0.271  0.765  -0.09
Te  0.429  0.079  0.235  -0.09
Pb  0.000  0.000  0.000  -0.01

Below is crystalline NaNpPd4 at its relaxed geometry, with properties calculated at the PBE level.

Output
ΔH_f (0 K) = -1.4 eV/f.u.
symmetry = F-43m

abc: 5.408 5.408 5.408
angles: 60.00 60.00 60.00
Last column: magnetic moment on the atom in μB.
Fractional coordinates of all 6 atoms:
Np  0.000  0.000  0.000  3.94
Na  0.250  0.250  0.250  0.02
Pd  0.625  0.625  0.125  -0.07
Pd  0.625  0.125  0.625  -0.07
Pd  0.625  0.625  0.625  -0.07
Pd  0.125  0.625  0.625  -0.07